Here is a geometry-optimized LiCaN3 structure from the Alexandria database. Energies are from PBE-GGA.

Geometry as POSCAR:
```
LiCaN3
1.0
4.5593 0.0000 0.0000
0.0000 4.5593 0.0000
0.0000 0.0000 4.5593
N Ca Li
3 1 1
direct
0.5000 0.0000 0.0000
0.0000 0.0000 0.5000
0.0000 0.5000 0.0000
0.0000 0.0000 0.0000
0.5000 0.5000 0.5000
```

- formation energy without anion corrections (meV/atom) = 1700
- total moment (μB per cell) = 6.0